Entry from the Alexandria database: a relaxed CaMgCd crystal (PBEsol).

a = 5.023 Å, b = 5.023 Å, c = 3.599 Å
α = 90.00°, β = 90.00°, γ = 120.00°
Atoms (fractional coordinates):
1 Ca 0.000 0.000 0.000
2 Mg 0.667 0.333 0.500
3 Cd 0.333 0.667 0.500

symmetry = P-6m2, No. 187
E = -1.90 eV/atom
energy of formation = -0.7 eV/f.u.